1.
Material: TmNbOsRh
Method: DFT, GGA-PBE
State: relaxed

abc: 4.6287 4.6287 4.6287
angles: 60.00 60.00 60.00
Element x y z (fractional)
Tm 0.5000 0.5000 0.5000
Rh 0.7500 0.7500 0.7500
Nb 0.0000 0.0000 0.0000
Os 0.2500 0.2500 0.2500

energy of formation	-0.388	eV per atom
spin magnetization	0.0	μB per formula unit
space-group type	F-43m

2.
Material: HfAgMo3
Method: DFT, GGA-PBE
State: relaxed

abc: 4.7825 4.7825 4.7825
angles: 90.00 90.00 90.00
Element x y z (fractional)
Mo 0.0000 0.5000 0.0000
Mo 0.5000 0.0000 0.0000
Mo 0.0000 0.0000 0.5000
Ag 0.0000 0.0000 0.0000
Hf 0.5000 0.5000 0.5000

energy of formation	2.146	eV per atom
polymorph energy (0 for the lowest one)	153	meV/atom
spin magnetization	0.0	μB per formula unit
space-group type	Pm-3m

3.
Material: Cs2InHg
Method: DFT, GGA-PBE
State: relaxed

abc: 10.4775 10.4775 8.3444
angles: 51.11 51.11 90.00
Element x y z (fractional)
Cs 0.1008 0.6250 0.2500
Cs 0.6492 0.1250 0.2500
Cs 0.8750 0.8992 0.7500
Cs 0.3750 0.3508 0.7500
In 0.2500 0.7500 0.5000
In 0.5000 0.5000 0.0000
Hg 0.7500 0.2500 0.5000
Hg 0.0000 0.0000 0.0000

energy of formation	0.084	eV per atom
spin magnetization	0.0	μB per formula unit
space-group type	I-42d

4.
Material: RbSbS3
Method: DFT, GGA-PBE
State: relaxed

abc: 4.7628 5.4904 12.4713
angles: 90.00 97.00 90.00
Element x y z (fractional)
Sb 0.3949 0.2500 0.5914
Sb 0.6051 0.7500 0.4086
S 0.3255 0.7500 0.5624
S 0.3809 0.7500 0.1273
S 0.8127 0.2500 0.7313
S 0.6191 0.2500 0.8727
S 0.6745 0.2500 0.4376
S 0.1873 0.7500 0.2687
Rb 0.1199 0.7500 0.8613
Rb 0.8801 0.2500 0.1387

formation energy from raw total energies	-0.491	eV/atom
polymorph energy (0 for the lowest one)	51	meV/atom
spin magnetization	0.0	μB per formula unit
space-group type	P2_1/m

5.
Material: Zn2TePt
Method: DFT, GGA-PBE
State: relaxed

abc: 4.8273 4.8273 4.5451
angles: 89.58 89.58 52.44
Element x y z (fractional)
Zn 0.9365 0.9365 0.2435
Zn 0.5635 0.5635 0.2565
Te 0.7500 0.7500 0.7500
Pt 0.2500 0.2500 0.2500

formation energy from raw total energies	-0.128	eV/atom
spin magnetization	0.0	μB per formula unit
space-group type	C2/m

6.
Material: Ba2NaPuTe4
Method: DFT, GGA-PBE
State: relaxed

abc: 4.7872 8.2833 8.1820
angles: 109.22 90.00 90.00
Element x y z (fractional)
Te 0.0000 0.2471 0.7758
Te 0.5000 0.2318 0.2191
Te 0.0000 0.7529 0.2242
Te 0.5000 0.7682 0.7809
Pu 0.0000 0.0000 0.0000
Ba 0.5000 0.0000 0.5000
Ba 0.0000 0.5000 0.5000
Na 0.5000 0.5000 0.0000

formation energy from raw total energies	-1.343	eV/atom
spin magnetization	5.0	μB per formula unit
space-group type	P2/m